(1)
Below is a geometry-optimized CsSiBi3 structure, with properties calculated at the PBE level.

abc: 6.216 6.216 6.216
angles: 90.00 90.00 90.00
Fractional coordinates of all 5 atoms:
Cs1 0.000 0.000 0.000
Si1 0.500 0.500 0.500
Bi1 0.000 0.500 0.000
Bi2 0.000 0.000 0.500
Bi3 0.500 0.000 0.000

Its space group is No. 221. Its crystal system is cubic. The value obtained for the raw formation energy is 1.80 eV/atom. The calculation puts the total moment at 0.000 μB/atom. The polymorph energy (0 for the lowest one) comes out at 1.533 eV/atom.

***

(2)
Below is a geometry-optimized CsSiBi3 structure, with properties calculated at the PBE level.

abc: 5.679 5.679 5.679
angles: 90.00 90.00 90.00
Fractional coordinates of all 5 atoms:
Cs1 0.500 0.500 0.500
Si1 0.000 0.000 0.000
Bi1 0.000 0.500 0.000
Bi2 0.000 0.000 0.500
Bi3 0.500 0.000 0.000

Its space group is No. 221. Its crystal system is cubic. The value obtained for the raw formation energy is 0.27 eV/atom. The calculation puts the total moment at 0.000 μB/atom. The polymorph energy (0 for the lowest one) comes out at 0.000 eV/atom.